1.
Below is a geometry-optimized Cs12Au6Br structure, with properties calculated at the GGA-PBE level.

Formation energy from raw total energies ... -6.99 eV/f.u.
SG ... Im-3
Density of states at the Fermi level ... 9.91 states/eV/cell

CIF file:
```
data_Cs12Au6Br
_space_group_name_H-M_alt 'P 1'
_space_group_IT_number 1
_cell_length_a 11.1844
_cell_length_b 11.1844
_cell_length_c 11.1844
_cell_angle_alpha 109.47
_cell_angle_beta 109.47
_cell_angle_gamma 109.47
loop_
_space_group_symop_operation_xyz
'x,y,z'
loop_
_atom_site_label
_atom_site_fract_x
_atom_site_fract_y
_atom_site_fract_z
Cs1 0.3116 0.1325 0.8208
Cs2 0.1792 0.3116 0.4908
Au1 0.3876 0.5000 0.8876
Cs3 0.8208 0.3116 0.1325
Br1 0.0000 0.0000 0.0000
Au2 0.5000 0.1124 0.6124
Cs4 0.4908 0.1792 0.3116
Cs5 0.3116 0.4908 0.1792
Cs6 0.8675 0.1792 0.6884
Cs7 0.5092 0.8208 0.6884
Cs8 0.6884 0.5092 0.8208
Cs9 0.6884 0.8675 0.1792
Cs10 0.1792 0.6884 0.8675
Au3 0.6124 0.5000 0.1124
Cs11 0.1325 0.8208 0.3116
Au4 0.8876 0.3876 0.5000
Cs12 0.8208 0.6884 0.5092
Au5 0.5000 0.8876 0.3876
Au6 0.1124 0.6124 0.5000
```

---

2.
Below is a geometry-optimized Cs6Au3Br2 structure, with properties calculated at the GGA-PBE level.

Formation energy from raw total energies ... -8.95 eV/f.u.
SG ... C2/m
Density of states at the Fermi level ... 3.00 states/eV/cell

CIF file:
```
data_Cs6Au3Br2
_space_group_name_H-M_alt 'P 1'
_space_group_IT_number 1
_cell_length_a 9.0832
_cell_length_b 9.0813
_cell_length_c 9.0819
_cell_angle_alpha 80.40
_cell_angle_beta 70.52
_cell_angle_gamma 59.99
loop_
_space_group_symop_operation_xyz
'x,y,z'
loop_
_atom_site_label
_atom_site_fract_x
_atom_site_fract_y
_atom_site_fract_z
Br1 0.8330 0.3340 0.5000
Au1 0.6637 0.6726 0.0000
Br2 0.1670 0.6660 0.5000
Cs1 0.7596 0.0000 0.7537
Cs2 0.0702 0.3448 0.7544
Cs3 0.5850 0.3448 0.2456
Cs4 0.2404 0.0000 0.2463
Au2 0.0000 0.0000 0.0000
Cs5 0.4150 0.6552 0.7544
Au3 0.3363 0.3274 0.0000
Cs6 0.9298 0.6552 0.2456
```

---

3.
Below is a geometry-optimized Cs8AuBr2 structure, with properties calculated at the GGA-PBE level.

Formation energy from raw total energies ... -7.32 eV/f.u.
SG ... C2/m
Density of states at the Fermi level ... 8.03 states/eV/cell

CIF file:
```
data_Cs8AuBr2
_space_group_name_H-M_alt 'P 1'
_space_group_IT_number 1
_cell_length_a 7.8489
_cell_length_b 10.6246
_cell_length_c 10.6246
_cell_angle_alpha 73.96
_cell_angle_beta 89.78
_cell_angle_gamma 89.78
loop_
_space_group_symop_operation_xyz
'x,y,z'
loop_
_atom_site_label
_atom_site_fract_x
_atom_site_fract_y
_atom_site_fract_z
Cs1 0.7627 0.8870 0.3104
Cs2 0.2566 0.6113 0.6113
Cs3 0.2456 0.1816 0.1816
Cs4 0.2373 0.1130 0.6896
Cs5 0.7434 0.3887 0.3887
Br1 0.2420 0.3997 0.3997
Cs6 0.7627 0.3104 0.8870
Cs7 0.7544 0.8184 0.8184
Au1 0.0000 0.0000 0.0000
Br2 0.7580 0.6003 0.6003
Cs8 0.2373 0.6896 0.1130
```

---

4.
Below is a geometry-optimized Cs8Au3Br4 structure, with properties calculated at the GGA-PBE level.

Formation energy from raw total energies ... -15.99 eV/f.u.
SG ... C2/m
Density of states at the Fermi level ... 2.91 states/eV/cell

CIF file:
```
data_Cs8Au3Br4
_space_group_name_H-M_alt 'P 1'
_space_group_IT_number 1
_cell_length_a 10.4266
_cell_length_b 10.4666
_cell_length_c 10.4666
_cell_angle_alpha 90.06
_cell_angle_beta 119.80
_cell_angle_gamma 119.80
loop_
_space_group_symop_operation_xyz
'x,y,z'
loop_
_atom_site_label
_atom_site_fract_x
_atom_site_fract_y
_atom_site_fract_z
Cs1 0.4924 0.2443 0.2443
Cs2 0.5076 0.7557 0.7557
Cs3 0.0000 0.2472 0.7528
Br1 0.0000 0.5000 0.0000
Br2 0.5000 0.0000 0.0000
Au1 0.5000 0.5000 0.5000
Au2 0.5000 0.0000 0.5000
Cs4 0.9982 0.2471 0.2471
Cs5 0.5000 0.2509 0.7491
Br3 0.0000 0.0000 0.5000
Cs6 0.0018 0.7529 0.7529
Br4 0.0000 0.0000 0.0000
Cs7 0.0000 0.7528 0.2472
Cs8 0.5000 0.7491 0.2509
Au3 0.5000 0.5000 0.0000
```

---

5.
Below is a geometry-optimized CsAu2Br8 structure, with properties calculated at the GGA-PBE level.

Formation energy from raw total energies ... -3.13 eV/f.u.
SG ... C2/m
Density of states at the Fermi level ... 7.24 states/eV/cell

CIF file:
```
data_CsAu2Br8
_space_group_name_H-M_alt 'P 1'
_space_group_IT_number 1
_cell_length_a 5.4071
_cell_length_b 8.2701
_cell_length_c 9.0554
_cell_angle_alpha 62.83
_cell_angle_beta 89.36
_cell_angle_gamma 88.61
loop_
_space_group_symop_operation_xyz
'x,y,z'
loop_
_atom_site_label
_atom_site_fract_x
_atom_site_fract_y
_atom_site_fract_z
Br1 0.0055 0.6254 0.2794
Au1 0.0000 0.2572 0.4857
Cs1 0.5000 0.0000 0.0000
Br2 0.9945 0.3746 0.7206
Br3 0.9945 0.0952 0.2794
Br4 0.0055 0.9048 0.7206
Br5 0.5000 0.7509 0.4981
Br6 0.6857 0.5724 0.0000
Br7 0.3143 0.4276 0.0000
Au2 0.0000 0.7428 0.5143
Br8 0.5000 0.2491 0.5019
```

---

6.
Below is a geometry-optimized Cs2Au2Br structure, with properties calculated at the GGA-PBE level.

Formation energy from raw total energies ... -2.78 eV/f.u.
SG ... I4/mmm
Density of states at the Fermi level ... 1.00 states/eV/cell

CIF file:
```
data_Cs2Au2Br
_space_group_name_H-M_alt 'P 1'
_space_group_IT_number 1
_cell_length_a 6.9139
_cell_length_b 6.9139
_cell_length_c 6.5251
_cell_angle_alpha 58.01
_cell_angle_beta 58.01
_cell_angle_gamma 90.00
loop_
_space_group_symop_operation_xyz
'x,y,z'
loop_
_atom_site_label
_atom_site_fract_x
_atom_site_fract_y
_atom_site_fract_z
Cs1 0.7500 0.2500 0.5000
Au1 0.3446 0.3446 0.3108
Cs2 0.2500 0.7500 0.5000
Au2 0.6554 0.6554 0.6892
Br1 0.0000 0.0000 0.0000
```

---

7.
Below is a geometry-optimized Cs8Au5Br structure, with properties calculated at the GGA-PBE level.

Formation energy from raw total energies ... -6.78 eV/f.u.
SG ... I-4
Density of states at the Fermi level ... 11.03 states/eV/cell

CIF file:
```
data_Cs8Au5Br
_space_group_name_H-M_alt 'P 1'
_space_group_IT_number 1
_cell_length_a 9.5480
_cell_length_b 9.5480
_cell_length_c 9.5480
_cell_angle_alpha 109.36
_cell_angle_beta 109.36
_cell_angle_gamma 109.70
loop_
_space_group_symop_operation_xyz
'x,y,z'
loop_
_atom_site_label
_atom_site_fract_x
_atom_site_fract_y
_atom_site_fract_z
Au1 0.3716 0.9950 0.1219
Cs1 0.1227 0.5140 0.7509
Cs2 0.6281 0.8773 0.3913
Cs3 0.6234 0.8723 0.8906
Cs4 0.2672 0.3766 0.2489
Cs5 0.4860 0.2369 0.6087
Au2 0.7503 0.6284 0.6233
Au3 0.5000 0.5000 0.0000
Cs6 0.7631 0.3719 0.2491
Au4 0.8730 0.2497 0.8781
Br1 0.2500 0.7500 0.5000
Au5 0.0050 0.1270 0.3767
Cs7 0.9818 0.7328 0.1094
Cs8 0.1277 0.0182 0.7511
```

---

8.
Below is a geometry-optimized Cs4Au3Br12 structure, with properties calculated at the GGA-PBE level.

Formation energy from raw total energies ... -16.02 eV/f.u.
SG ... Im-3
Density of states at the Fermi level ... 9.43 states/eV/cell

CIF file:
```
data_Cs4Au3Br12
_space_group_name_H-M_alt 'P 1'
_space_group_IT_number 1
_cell_length_a 10.8479
_cell_length_b 10.8479
_cell_length_c 10.8479
_cell_angle_alpha 109.47
_cell_angle_beta 109.47
_cell_angle_gamma 109.47
loop_
_space_group_symop_operation_xyz
'x,y,z'
loop_
_atom_site_label
_atom_site_fract_x
_atom_site_fract_y
_atom_site_fract_z
Br1 0.2163 0.8583 0.3580
Br2 0.7837 0.1417 0.6420
Br3 0.1417 0.3580 0.4997
Au1 0.0000 0.5000 0.5000
Br4 0.1417 0.6420 0.7837
Au2 0.5000 0.5000 0.0000
Cs1 0.0000 0.5000 0.0000
Cs2 0.5000 0.5000 0.5000
Br5 0.8583 0.3580 0.2163
Br6 0.8583 0.6420 0.5003
Au3 0.5000 0.0000 0.5000
Br7 0.6420 0.7837 0.1417
Br8 0.4997 0.1417 0.3580
Br9 0.6420 0.5003 0.8583
Cs3 0.0000 0.0000 0.5000
Cs4 0.5000 0.0000 0.0000
Br10 0.3580 0.2163 0.8583
Br11 0.5003 0.8583 0.6420
Br12 0.3580 0.4997 0.1417
```

---

9.
Below is a geometry-optimized Cs6Au2Br3 structure, with properties calculated at the GGA-PBE level.

Formation energy from raw total energies ... -12.01 eV/f.u.
SG ... R-3m
Density of states at the Fermi level ... 2.50 states/eV/cell

CIF file:
```
data_Cs6Au2Br3
_space_group_name_H-M_alt 'P 1'
_space_group_IT_number 1
_cell_length_a 5.2199
_cell_length_b 5.2199
_cell_length_c 26.1636
_cell_angle_alpha 84.27
_cell_angle_beta 84.27
_cell_angle_gamma 60.00
loop_
_space_group_symop_operation_xyz
'x,y,z'
loop_
_atom_site_label
_atom_site_fract_x
_atom_site_fract_y
_atom_site_fract_z
Cs1 0.8029 0.8029 0.5913
Br1 0.0000 0.0000 0.0000
Br2 0.7213 0.7213 0.8361
Au1 0.4436 0.4436 0.6692
Cs2 0.0819 0.0819 0.7544
Cs3 0.6394 0.6394 0.0819
Cs4 0.3606 0.3606 0.9181
Cs5 0.9181 0.9181 0.2456
Au2 0.5564 0.5564 0.3308
Br3 0.2787 0.2787 0.1639
Cs6 0.1971 0.1971 0.4087
```

---

10.
Below is a geometry-optimized CsAuBr2 structure, with properties calculated at the GGA-PBE level.

Formation energy from raw total energies ... -3.19 eV/f.u.
SG ... I-42d
Density of states at the Fermi level ... 0.00 states/eV/cell

CIF file:
```
data_CsAuBr2
_space_group_name_H-M_alt 'P 1'
_space_group_IT_number 1
_cell_length_a 7.1500
_cell_length_b 7.1500
_cell_length_c 8.6383
_cell_angle_alpha 65.55
_cell_angle_beta 65.55
_cell_angle_gamma 90.00
loop_
_space_group_symop_operation_xyz
'x,y,z'
loop_
_atom_site_label
_atom_site_fract_x
_atom_site_fract_y
_atom_site_fract_z
Br1 0.7280 0.1250 0.2500
Au1 0.0000 0.0000 0.0000
Br2 0.8750 0.9780 0.7500
Cs1 0.5000 0.5000 0.0000
Au2 0.7500 0.2500 0.5000
Br3 0.3750 0.2720 0.7500
Cs2 0.2500 0.7500 0.5000
Br4 0.0220 0.6250 0.2500
```